No. 1
First-principles (GGA-PBE) data for an optimized crystal structure of NpCrGaRu, as listed in Alexandria.

```
NpCrGaRu
1.0
0.000 3.171 3.171
3.171 0.000 3.171
3.171 3.171 0.000
Np Cr Ga Ru
1 1 1 1
direct
0.000 0.000 0.000
0.250 0.250 0.250
0.500 0.500 0.500
0.750 0.750 0.750
```

formation enthalpy at 0 K: 0.026 eV per atom
theoretical density: 12.0 g/cm3
SG: F-43m


No. 2
First-principles (GGA-PBE) data for an optimized crystal structure of CsTmPbCl6, as listed in Alexandria.

```
CsTmPbCl6
1.0
7.335 0.000 0.000
-3.667 6.352 0.000
0.000 0.000 7.545
Cs Tm Pb Cl
1 1 1 6
direct
0.000 0.000 0.000
0.333 0.667 0.500
0.667 0.333 0.500
0.030 0.390 0.298
0.030 0.640 0.702
0.360 0.390 0.702
0.360 0.970 0.298
0.610 0.640 0.298
0.610 0.970 0.702
```

uncorrected formation energy: -1896 meV/atom
theoretical density: 3.4 g/cm3
SG: P312


No. 3
First-principles (GGA-PBE) data for an optimized crystal structure of ScCoNi2Sb, as listed in Alexandria.

```
ScCoNi2Sb
1.0
4.614 0.000 0.000
0.000 4.614 0.000
0.000 0.000 5.295
Sc Co Ni Sb
1 1 2 1
direct
0.000 0.000 0.000
0.500 0.500 0.000
0.000 0.500 0.500
0.500 0.000 0.500
0.000 0.000 0.500
```

uncorrected formation energy: 979 meV/atom
theoretical density: 5.1 g/cm3
SG: P4/mmm


No. 4
First-principles (GGA-PBE) data for an optimized crystal structure of Cr3HgSe, as listed in Alexandria.

```
Cr3HgSe
1.0
5.101 0.000 0.000
0.000 5.101 0.000
0.000 0.000 5.101
Cr Hg Se
3 1 1
direct
0.000 0.000 0.500
0.000 0.500 0.000
0.500 0.000 0.000
0.000 0.000 0.000
0.500 0.500 0.500
```

energy above the most stable polymorph in this dataset: 1.82 eV per formula unit
uncorrected formation energy: 1349 meV/atom
theoretical density: 5.5 g/cm3
SG: Pm-3m


No. 5
First-principles (GGA-PBE) data for an optimized crystal structure of K3CeY3Se8, as listed in Alexandria.

```
K3CeY3Se8
1.0
4.196 2.423 7.801
-4.196 2.423 7.801
0.000 -4.845 7.801
K Ce Y Se
3 1 3 8
direct
0.000 0.500 0.500
0.500 0.000 0.500
0.500 0.500 0.000
0.500 0.500 0.500
0.000 0.000 0.500
0.000 0.500 0.000
0.500 0.000 0.000
0.234 0.733 0.733
0.235 0.235 0.235
0.267 0.267 0.766
0.267 0.766 0.267
0.733 0.234 0.733
0.733 0.733 0.234
0.765 0.765 0.765
0.766 0.267 0.267
```

uncorrected formation energy: -1743 meV/atom
theoretical density: 4.0 g/cm3
SG: R-3m


No. 6
First-principles (GGA-PBE) data for an optimized crystal structure of TlCdH2F, as listed in Alexandria.

```
TlCdH2F
1.0
4.951 0.000 0.000
0.000 4.951 0.000
0.000 0.000 4.007
Tl Cd H F
1 1 2 1
direct
0.000 0.000 0.000
0.500 0.500 0.000
0.000 0.500 0.500
0.500 0.000 0.500
0.500 0.500 0.500
```

theoretical density: 5.7 g/cm3
SG: P4/mmm


No. 7
First-principles (GGA-PBE) data for an optimized crystal structure of K2SeBr2Cl4, as listed in Alexandria.

```
K2SeBr2Cl4
1.0
-3.639 3.639 5.181
3.639 -3.639 5.181
3.639 3.639 -5.181
K Se Br Cl
2 1 2 4
direct
0.250 0.750 0.500
0.750 0.250 0.500
0.000 0.000 0.000
0.250 0.250 0.000
0.750 0.750 0.000
0.236 0.236 0.472
0.236 0.764 0.000
0.764 0.236 0.000
0.764 0.764 0.528
```

uncorrected formation energy: -1022 meV/atom
theoretical density: 2.8 g/cm3
SG: I4/mmm


No. 8
First-principles (GGA-PBE) data for an optimized crystal structure of KSc2Cu, as listed in Alexandria.

```
KSc2Cu
1.0
0.000 3.567 3.567
3.567 0.000 3.567
3.567 3.567 0.000
K Sc Cu
1 2 1
direct
0.000 0.000 0.000
0.250 0.250 0.250
0.750 0.750 0.750
0.500 0.500 0.500
```

formation enthalpy at 0 K: 0.626 eV per atom
energy above the most stable polymorph in this dataset: 1.75 eV per formula unit
theoretical density: 3.5 g/cm3
SG: Fm-3m


No. 9
First-principles (GGA-PBE) data for an optimized crystal structure of Ca2MnNi, as listed in Alexandria.

```
Ca2MnNi
1.0
-1.754 2.495 5.287
1.754 -2.495 5.287
1.754 2.495 -5.287
Ca Mn Ni
2 1 1
direct
0.000 0.000 0.000
0.707 0.207 0.500
0.401 0.401 0.000
0.250 0.750 0.500
```

formation enthalpy at 0 K: 0.179 eV per atom
theoretical density: 3.5 g/cm3
SG: Imm2


No. 10
First-principles (GGA-PBE) data for an optimized crystal structure of TaAg2Sb, as listed in Alexandria.

```
TaAg2Sb
1.0
1.517 0.876 10.056
-1.517 0.876 10.056
0.000 -1.752 10.056
Ta Ag Sb
1 2 1
direct
0.000 0.000 0.000
0.254 0.254 0.254
0.746 0.746 0.746
0.500 0.500 0.500
```

uncorrected formation energy: 367 meV/atom
theoretical density: 10.7 g/cm3
SG: R-3m


No. 11
First-principles (GGA-PBE) data for an optimized crystal structure of Sr2UZnS5, as listed in Alexandria.

```
Sr2UZnS5
1.0
2.010 -8.752 0.000
2.010 8.752 0.000
0.000 0.000 12.414
Sr U Zn S
4 2 2 10
direct
0.108 0.892 0.500
0.122 0.878 0.135
0.878 0.122 0.635
0.892 0.108 0.000
0.206 0.794 0.835
0.794 0.206 0.335
0.444 0.556 0.256
0.556 0.444 0.756
0.052 0.948 0.858
0.290 0.710 0.481
0.308 0.692 0.187
0.356 0.644 0.822
0.499 0.501 0.591
0.501 0.499 0.091
0.644 0.356 0.322
0.692 0.308 0.687
0.710 0.290 0.981
0.948 0.052 0.358
```

uncorrected formation energy: -1580 meV/atom
theoretical density: 4.9 g/cm3
SG: Cmc2_1


No. 12
First-principles (GGA-PBE) data for an optimized crystal structure of Tl3SnIr, as listed in Alexandria.

```
Tl3SnIr
1.0
5.299 0.000 0.000
0.000 5.299 0.000
0.000 0.000 5.299
Tl Sn Ir
3 1 1
direct
0.000 0.000 0.500
0.000 0.500 0.000
0.500 0.000 0.000
0.500 0.500 0.500
0.000 0.000 0.000
```

formation enthalpy at 0 K: 0.321 eV per atom
energy above the most stable polymorph in this dataset: 0.00 eV per formula unit
theoretical density: 10.3 g/cm3
SG: Pm-3m


Number 1: E_tot -8.69 eV per atom, spin magnetization 4.0 μB per cell. Number 2: E_tot -4.13 eV per atom, spin magnetization 0.0 μB per cell. Number 3: E_tot -4.85 eV per atom, spin magnetization 2.3 μB per cell. Number 4: E_tot -5.18 eV per atom, spin magnetization 13.0 μB per cell. Number 5: E_tot -5.51 eV per atom, spin magnetization 0.0 μB per cell. Number 6: E_tot -2.10 eV per atom, spin magnetization 0.0 μB per cell. Number 7: E_tot -2.85 eV per atom, spin magnetization 0.0 μB per cell. Number 8: E_tot -3.84 eV per atom, spin magnetization 0.0 μB per cell. Number 9: E_tot -4.56 eV per atom, spin magnetization 4.0 μB per cell. Number 10: E_tot -5.05 eV per atom, spin magnetization 0.1 μB per cell. Number 11: E_tot -5.64 eV per atom, spin magnetization 4.0 μB per cell. Number 12: E_tot -3.67 eV per atom, spin magnetization 0.0 μB per cell.